Entry 1:
# Ca2Ga2Ru2C | Alexandria via LeMat-Bulk | PBE | optimized geometry
data_Ca2Ga2Ru2C
_cell_length_a 11.200
_cell_length_b 4.127
_cell_length_c 7.344
_cell_angle_alpha 90.00
_cell_angle_beta 129.24
_cell_angle_gamma 90.00
_symmetry_space_group_name_H-M 'C 1 2/m 1'
_symmetry_Int_Tables_number 12
_symmetry_space_group_name_Hall '-C 2y'
loop_
_atom_site_label
_atom_site_type_symbol
_atom_site_fract_x
_atom_site_fract_y
_atom_site_fract_z
_atom_site_occupancy
Ca1 Ca 0.065 0.000 0.294 1
Ga1 Ga 0.153 0.500 0.701 1
Ru1 Ru 0.195 0.500 0.083 1
C1 C 0.000 0.500 0.000 1
# Energy relative to the elements, eV/atom: -0.36

Entry 2:
# AlCBr2 | Alexandria via LeMat-Bulk | PBE | optimized geometry
data_AlCBr2
_cell_length_a 3.6176
_cell_length_b 3.6176
_cell_length_c 24.6193
_cell_angle_alpha 90.00
_cell_angle_beta 90.00
_cell_angle_gamma 120.00
_symmetry_space_group_name_H-M 'R -3 m'
_symmetry_Int_Tables_number 166
_symmetry_space_group_name_Hall '-R 3 2"'
loop_
_atom_site_label
_atom_site_type_symbol
_atom_site_fract_x
_atom_site_fract_y
_atom_site_fract_z
_atom_site_occupancy
Al1 Al 0.0000 0.0000 0.0000 1
C1 C 0.0000 0.0000 0.5000 1
Br1 Br 0.0000 0.0000 0.4096 1
# Uncorrected formation energy, kcal/mol of atoms: 31.49

Entry 3:
# K5Mn | Alexandria via LeMat-Bulk | PBE | optimized geometry
data_K5Mn
_cell_length_a 6.941
_cell_length_b 4.347
_cell_length_c 23.168
_cell_angle_alpha 90.00
_cell_angle_beta 90.00
_cell_angle_gamma 90.00
_symmetry_space_group_name_H-M 'A m m 2'
_symmetry_Int_Tables_number 38
_symmetry_space_group_name_Hall 'A 2 -2'
loop_
_atom_site_label
_atom_site_type_symbol
_atom_site_fract_x
_atom_site_fract_y
_atom_site_fract_z
_atom_site_occupancy
K1 K 0.000 0.000 0.000 1
K2 K 0.000 0.000 0.285 1
K3 K 0.500 0.000 0.094 1
K4 K 0.500 0.000 0.414 1
K5 K 0.500 0.000 0.740 1
Mn1 Mn 0.000 0.000 0.644 1
# Energy relative to the elements, eV/atom: 0.44

Entry 4:
# AuNF2 | Alexandria via LeMat-Bulk | PBE | optimized geometry
data_AuNF2
_cell_length_a 5.813
_cell_length_b 5.813
_cell_length_c 5.813
_cell_angle_alpha 90.00
_cell_angle_beta 90.00
_cell_angle_gamma 90.00
_symmetry_space_group_name_H-M 'F m -3 m'
_symmetry_Int_Tables_number 225
_symmetry_space_group_name_Hall '-F 4 2 3'
loop_
_atom_site_label
_atom_site_type_symbol
_atom_site_fract_x
_atom_site_fract_y
_atom_site_fract_z
_atom_site_occupancy
Au1 Au 0.000 0.000 0.000 1
N1 N 0.000 0.000 0.500 1
F1 F 0.250 0.250 0.250 1
# Uncorrected formation energy, kcal/mol of atoms: 22.79

Entry 5:
# LaTb2Hg | Alexandria via LeMat-Bulk | PBE | optimized geometry
data_LaTb2Hg
_cell_length_a 3.6868
_cell_length_b 3.6868
_cell_length_c 32.2500
_cell_angle_alpha 90.00
_cell_angle_beta 90.00
_cell_angle_gamma 120.00
_symmetry_space_group_name_H-M 'R 3 m'
_symmetry_Int_Tables_number 160
_symmetry_space_group_name_Hall 'R 3 -2"'
loop_
_atom_site_label
_atom_site_type_symbol
_atom_site_fract_x
_atom_site_fract_y
_atom_site_fract_z
_atom_site_occupancy
La1 La 0.0000 0.0000 0.0000 1
Tb1 Tb 0.0000 0.0000 0.5730 1
Tb2 Tb 0.0000 0.0000 0.7601 1
Hg1 Hg 0.0000 0.0000 0.1663 1
# Energy relative to the elements, eV/atom: -0.14

Entry 6:
# CsBa2LaBr8 | Alexandria via LeMat-Bulk | PBE | optimized geometry
data_CsBa2LaBr8
_cell_length_a 5.602
_cell_length_b 10.822
_cell_length_c 7.816
_cell_angle_alpha 90.00
_cell_angle_beta 90.48
_cell_angle_gamma 90.00
_symmetry_space_group_name_H-M 'P 1 2/m 1'
_symmetry_Int_Tables_number 10
_symmetry_space_group_name_Hall '-P 2y'
loop_
_atom_site_label
_atom_site_type_symbol
_atom_site_fract_x
_atom_site_fract_y
_atom_site_fract_z
_atom_site_occupancy
Cs1 Cs 0.000 0.000 0.000 1
Ba1 Ba 0.500 0.248 0.500 1
La1 La 0.000 0.500 0.000 1
Br1 Br 0.002 0.287 0.748 1
Br2 Br 0.497 0.000 0.732 1
Br3 Br 0.498 0.500 0.221 1
# Uncorrected formation energy, kcal/mol of atoms: -47.05

Entry 7:
# RbFeRu3 | Alexandria via LeMat-Bulk | PBE | optimized geometry
data_RbFeRu3
_cell_length_a 4.632
_cell_length_b 4.632
_cell_length_c 4.632
_cell_angle_alpha 90.00
_cell_angle_beta 90.00
_cell_angle_gamma 90.00
_symmetry_space_group_name_H-M 'P m -3 m'
_symmetry_Int_Tables_number 221
_symmetry_space_group_name_Hall '-P 4 2 3'
loop_
_atom_site_label
_atom_site_type_symbol
_atom_site_fract_x
_atom_site_fract_y
_atom_site_fract_z
_atom_site_occupancy
Rb1 Rb 0.000 0.000 0.000 1
Fe1 Fe 0.500 0.500 0.500 1
Ru1 Ru 0.000 0.000 0.500 1
# Energy relative to the elements, eV/atom: 3.55

Entry 8:
# CaTc2Rh | Alexandria via LeMat-Bulk | PBE | optimized geometry
data_CaTc2Rh
_cell_length_a 5.260
_cell_length_b 9.566
_cell_length_c 2.731
_cell_angle_alpha 90.00
_cell_angle_beta 107.18
_cell_angle_gamma 90.00
_symmetry_space_group_name_H-M 'C 1 2/m 1'
_symmetry_Int_Tables_number 12
_symmetry_space_group_name_Hall '-C 2y'
loop_
_atom_site_label
_atom_site_type_symbol
_atom_site_fract_x
_atom_site_fract_y
_atom_site_fract_z
_atom_site_occupancy
Ca1 Ca 0.000 0.000 0.000 1
Tc1 Tc 0.250 0.250 0.500 1
Rh1 Rh 0.000 0.500 0.000 1
# Energy relative to the elements, eV/atom: 0.40

Entry 9:
# PNCl3 | Alexandria via LeMat-Bulk | PBE | optimized geometry
data_PNCl3
_cell_length_a 4.782
_cell_length_b 4.782
_cell_length_c 4.782
_cell_angle_alpha 90.00
_cell_angle_beta 90.00
_cell_angle_gamma 90.00
_symmetry_space_group_name_H-M 'P m -3 m'
_symmetry_Int_Tables_number 221
_symmetry_space_group_name_Hall '-P 4 2 3'
loop_
_atom_site_label
_atom_site_type_symbol
_atom_site_fract_x
_atom_site_fract_y
_atom_site_fract_z
_atom_site_occupancy
P1 P 0.000 0.000 0.000 1
N1 N 0.500 0.500 0.500 1
Cl1 Cl 0.000 0.000 0.500 1
# Uncorrected formation energy, kcal/mol of atoms: 18.63

Entry 10:
# Ta2CoRh | Alexandria via LeMat-Bulk | PBE | optimized geometry
data_Ta2CoRh
_cell_length_a 6.878
_cell_length_b 6.878
_cell_length_c 5.478
_cell_angle_alpha 90.00
_cell_angle_beta 90.00
_cell_angle_gamma 90.00
_symmetry_space_group_name_H-M 'I -4 2 d'
_symmetry_Int_Tables_number 122
_symmetry_space_group_name_Hall 'I -4 2bw'
loop_
_atom_site_label
_atom_site_type_symbol
_atom_site_fract_x
_atom_site_fract_y
_atom_site_fract_z
_atom_site_occupancy
Ta1 Ta 0.235 0.250 0.125 1
Co1 Co 0.000 0.000 0.000 1
Rh1 Rh 0.000 0.000 0.500 1
# Energy relative to the elements, eV/atom: 0.20

Entry 11:
# Dy7Sc2 | Alexandria via LeMat-Bulk | PBE | optimized geometry
data_Dy7Sc2
_cell_length_a 6.0329
_cell_length_b 6.0329
_cell_length_c 8.5069
_cell_angle_alpha 90.00
_cell_angle_beta 90.00
_cell_angle_gamma 120.00
_symmetry_space_group_name_H-M 'P -3 1 m'
_symmetry_Int_Tables_number 162
_symmetry_space_group_name_Hall '-P 3 2'
loop_
_atom_site_label
_atom_site_type_symbol
_atom_site_fract_x
_atom_site_fract_y
_atom_site_fract_z
_atom_site_occupancy
Dy1 Dy 0.0000 0.0000 0.0000 1
Dy2 Dy 0.0000 0.3359 0.6722 1
Sc1 Sc 0.3333 0.6667 0.0000 1
# Energy relative to the elements, eV/atom: 0.04

Entry 12:
# Cd13Hg3 | Alexandria via LeMat-Bulk | PBE | optimized geometry
data_Cd13Hg3
_cell_length_a 7.227
_cell_length_b 10.212
_cell_length_c 10.265
_cell_angle_alpha 90.00
_cell_angle_beta 90.00
_cell_angle_gamma 90.00
_symmetry_space_group_name_H-M 'A m m 2'
_symmetry_Int_Tables_number 38
_symmetry_space_group_name_Hall 'A 2 -2'
loop_
_atom_site_label
_atom_site_type_symbol
_atom_site_fract_x
_atom_site_fract_y
_atom_site_fract_z
_atom_site_occupancy
Cd1 Cd 0.000 0.000 0.000 1
Cd2 Cd 0.000 0.000 0.498 1
Cd3 Cd 0.000 0.249 0.249 1
Cd4 Cd 0.249 0.000 0.247 1
Cd5 Cd 0.250 0.250 0.498 1
Cd6 Cd 0.500 0.000 0.000 1
Cd7 Cd 0.500 0.249 0.748 1
Hg1 Hg 0.248 0.000 0.750 1
Hg2 Hg 0.500 0.000 0.493 1
# Energy relative to the elements, eV/atom: 0.06

In the order shown, the computed energy values come out to -40.325 -10.850 -11.995 -11.392 -15.050 -47.492 -19.528 -28.488 -15.236 -37.371 -44.503 -11.907 eV/f.u..